#i
UTlIn: relaxed, PBE.

The structure in CIF format:
```
data_UTlIn
_chemical_formula_sum 'U4 Tl4 In4'
_cell_length_a 7.243
_cell_length_b 7.243
_cell_length_c 7.243
_cell_angle_alpha 90.00
_cell_angle_beta 90.00
_cell_angle_gamma 90.00
_symmetry_space_group_name_H-M 'F -4 3 m'
_symmetry_Int_Tables_number 216
_symmetry_space_group_name_Hall 'F -4 2 3'
loop_
_atom_site_label
_atom_site_type_symbol
_atom_site_fract_x
_atom_site_fract_y
_atom_site_fract_z
U1 U 0.000 0.000 0.000
Tl1 Tl 0.250 0.250 0.250
In1 In 0.250 0.250 0.750
```

Computed properties:
Crystal system: cubic



#ii
UTlIn: relaxed, PBE.

The structure in CIF format:
```
data_UTlIn
_chemical_formula_sum 'U4 Tl4 In4'
_cell_length_a 7.124
_cell_length_b 7.124
_cell_length_c 7.124
_cell_angle_alpha 90.00
_cell_angle_beta 90.00
_cell_angle_gamma 90.00
_symmetry_space_group_name_H-M 'F -4 3 m'
_symmetry_Int_Tables_number 216
_symmetry_space_group_name_Hall 'F -4 2 3'
loop_
_atom_site_label
_atom_site_type_symbol
_atom_site_fract_x
_atom_site_fract_y
_atom_site_fract_z
U1 U 0.000 0.000 0.000
Tl1 Tl 0.250 0.250 0.750
In1 In 0.000 0.000 0.500
```

Computed properties:
Crystal system: cubic



Which of them is least stable? Easy: #i.



#i
UInW: relaxed, PBE.

The structure in CIF format:
```
data_UInW
_chemical_formula_sum 'U4 In4 W4'
_cell_length_a 6.694
_cell_length_b 6.694
_cell_length_c 6.694
_cell_angle_alpha 90.00
_cell_angle_beta 90.00
_cell_angle_gamma 90.00
_symmetry_space_group_name_H-M 'F -4 3 m'
_symmetry_Int_Tables_number 216
_symmetry_space_group_name_Hall 'F -4 2 3'
loop_
_atom_site_label
_atom_site_type_symbol
_atom_site_fract_x
_atom_site_fract_y
_atom_site_fract_z
U1 U 0.000 0.000 0.000
In1 In 0.250 0.250 0.250
W1 W 0.250 0.250 0.750
```

Computed properties:
Crystal system: cubic



#ii
UInW: relaxed, PBE.

The structure in CIF format:
```
data_UInW
_chemical_formula_sum 'U4 In4 W4'
_cell_length_a 6.602
_cell_length_b 6.602
_cell_length_c 6.602
_cell_angle_alpha 90.00
_cell_angle_beta 90.00
_cell_angle_gamma 90.00
_symmetry_space_group_name_H-M 'F -4 3 m'
_symmetry_Int_Tables_number 216
_symmetry_space_group_name_Hall 'F -4 2 3'
loop_
_atom_site_label
_atom_site_type_symbol
_atom_site_fract_x
_atom_site_fract_y
_atom_site_fract_z
U1 U 0.000 0.000 0.000
In1 In 0.000 0.000 0.500
W1 W 0.250 0.250 0.250
```

Computed properties:
Crystal system: cubic



Which of them is least stable? Easy: #i.



#i
ZrUIn: relaxed, PBE.

The structure in CIF format:
```
data_ZrUIn
_chemical_formula_sum 'Zr4 U4 In4'
_cell_length_a 7.071
_cell_length_b 7.071
_cell_length_c 7.071
_cell_angle_alpha 90.00
_cell_angle_beta 90.00
_cell_angle_gamma 90.00
_symmetry_space_group_name_H-M 'F -4 3 m'
_symmetry_Int_Tables_number 216
_symmetry_space_group_name_Hall 'F -4 2 3'
loop_
_atom_site_label
_atom_site_type_symbol
_atom_site_fract_x
_atom_site_fract_y
_atom_site_fract_z
Zr1 Zr 0.000 0.000 0.000
U1 U 0.000 0.000 0.500
In1 In 0.250 0.250 0.750
```

Computed properties:
Crystal system: cubic



#ii
ZrUIn: relaxed, PBE.

The structure in CIF format:
```
data_ZrUIn
_chemical_formula_sum 'Zr4 U4 In4'
_cell_length_a 7.085
_cell_length_b 7.085
_cell_length_c 7.085
_cell_angle_alpha 90.00
_cell_angle_beta 90.00
_cell_angle_gamma 90.00
_symmetry_space_group_name_H-M 'F -4 3 m'
_symmetry_Int_Tables_number 216
_symmetry_space_group_name_Hall 'F -4 2 3'
loop_
_atom_site_label
_atom_site_type_symbol
_atom_site_fract_x
_atom_site_fract_y
_atom_site_fract_z
Zr1 Zr 0.000 0.000 0.000
U1 U 0.250 0.250 0.250
In1 In 0.000 0.000 0.500
```

Computed properties:
Crystal system: cubic



Which of them is least stable? Easy: #ii.